# NaCa3Pt

NaCa3Pt after structural relaxation (GGA-PBE, Alexandria).

abc: 22.362 10.417 10.417
angles: 158.31 155.22 24.78
Atoms (fractional coordinates):
Na (0.846, 0.939, 0.061)
Na (0.154, 0.061, 0.939)
Ca (0.310, 0.725, 0.275)
Ca (0.690, 0.275, 0.725)
Ca (0.086, 0.325, 0.675)
Ca (0.914, 0.675, 0.325)
Ca (0.584, 0.582, 0.418)
Ca (0.416, 0.418, 0.582)
Pt (0.581, 0.981, 0.019)
Pt (0.419, 0.019, 0.981)

Magnetic moment: 0.0000 μB/atom
SG: C2/m
Crystal system: monoclinic
Energy of formation from the pure elements: -0.41 eV/atom
Total DFT energy (no corrections): -3.083 eV per atom


# BeReTe2N

BeReTe2N after structural relaxation (GGA-PBE, Alexandria).

abc: 5.388 5.388 3.710
angles: 90.00 90.00 90.00
Atoms (fractional coordinates):
Re (0.000, 0.000, 0.000)
Te (0.000, 0.500, 0.000)
Te (0.500, 0.000, 0.000)
Be (0.500, 0.500, 0.500)
N (0.000, 0.000, 0.500)

Magnetic moment: 0.0000 μB/atom
SG: P4/mmm
Formation energy without anion corrections: 67.2 kJ/mol of atoms
Crystal system: tetragonal
Total DFT energy (no corrections): -5.460 eV per atom


# Cd2InW

Cd2InW after structural relaxation (GGA-PBE, Alexandria).

abc: 2.919 2.919 9.815
angles: 90.00 90.00 100.26
Atoms (fractional coordinates):
Cd (0.000, 0.000, 0.981)
Cd (0.500, 0.500, 0.243)
W (0.500, 0.500, 0.753)
In (0.000, 0.000, 0.523)

Magnetic moment: 0.0000 μB/atom
SG: Cmm2
Crystal system: orthorhombic
Energy of formation from the pure elements: 0.49 eV/atom
Total DFT energy (no corrections): -3.894 eV per atom


# Co2TePt

Co2TePt after structural relaxation (GGA-PBE, Alexandria).

abc: 4.605 4.605 4.047
angles: 63.93 63.93 52.17
Site moments in Bohr magnetons follow the coordinates.
Atoms (fractional coordinates):
Co (0.000, 0.000, 0.000)  1.35
Co (0.500, 0.500, 0.500)  1.35
Pt (0.750, 0.750, 0.750)  0.21
Te (0.250, 0.250, 0.250)  0.01

Magnetic moment: 0.7166 μB/atom
SG: I4/mmm
Formation energy without anion corrections: 18.6 kJ/mol of atoms
Crystal system: tetragonal
Total DFT energy (no corrections): -5.656 eV per atom